A plane-wave DFT calculation with GGA-PBE was carried out for an optimized crystal structure of NaHf3Pb.

It has space group Pm-3m (No. 221), with a = 5.4404 Å, b = 5.4404 Å, c = 5.4404 Å, α = 90.00°, β = 90.00° and γ = 90.00°. The inequivalent atoms are Na at (0.0000, 0.0000, 0.0000), Hf at (0.0000, 0.5000, 0.5000) and Pb at (0.5000, 0.5000, 0.5000).

For the formation energy, the calculation gives 1.396 eV per atom. For the density of states at the Fermi level, the calculation gives 1.686 states/eV per atom.


A plane-wave DFT calculation with GGA-PBE was carried out for an optimized crystal structure of Tb3Pt2O.

It has space group C2/c (No. 15), with a = 11.9083 Å, b = 6.3329 Å, c = 7.2016 Å, α = 90.00°, β = 94.43° and γ = 90.00°. The inequivalent atoms are Tb at (0.0000, 0.1381, 0.2500), Tb at (0.1566, 0.3615, 0.6878), Pt at (0.1745, 0.0647, 0.0074) and O at (0.0000, 0.4789, 0.2500).

As for the uncorrected formation energy: -1.738 eV per atom. For the density of states at the Fermi level, the calculation gives 0.605 states/eV per atom.


A plane-wave DFT calculation with GGA-PBE was carried out for an optimized crystal structure of LaAg6Pd6.

It has space group Immm (No. 71), with a = 5.4198 Å, b = 9.3516 Å, c = 9.3830 Å, α = 90.00°, β = 90.00° and γ = 90.00°. The inequivalent atoms are La at (0.0000, 0.0000, 0.0000), Ag at (0.0000, 0.0000, 0.3530), Ag at (0.0000, 0.3482, 0.0000), Ag at (0.0000, 0.5000, 0.2847), Pd at (0.0000, 0.2847, 0.5000) and Pd at (0.2500, 0.2500, 0.2500).

For the formation energy, the calculation gives -0.222 eV per atom. For the density of states at the Fermi level, the calculation gives 0.466 states/eV per atom.


A plane-wave DFT calculation with GGA-PBE was carried out for an optimized crystal structure of AlCuGe.

It has space group P6_3/mmc (No. 194), with a = 4.0788 Å, b = 4.0788 Å, c = 9.9730 Å, α = 90.00°, β = 90.00° and γ = 120.00°. The inequivalent atoms are Al at (0.0000, 0.0000, 0.2500), Cu at (0.3333, 0.6667, 0.2500) and Ge at (0.0000, 0.0000, 0.0000).

For the formation energy, the calculation gives 0.820 eV per atom. For the density of states at the Fermi level, the calculation gives 0.648 states/eV per atom.


A plane-wave DFT calculation with GGA-PBE was carried out for an optimized crystal structure of CeTmTlGa.

It has space group F-43m (No. 216), with a = 7.4395 Å, b = 7.4395 Å, c = 7.4395 Å, α = 90.00°, β = 90.00° and γ = 90.00°. The inequivalent atoms are Ce at (0.0000, 0.0000, 0.0000), Tm at (0.0000, 0.0000, 0.5000), Tl at (0.2500, 0.2500, 0.2500) and Ga at (0.2500, 0.2500, 0.7500).

For the formation energy, the calculation gives -0.354 eV per atom. For the density of states at the Fermi level, the calculation gives 1.826 states/eV per atom. The value obtained for the polymorph energy (0 for the lowest one) is 44.4 meV per atom.


A plane-wave DFT calculation with GGA-PBE was carried out for an optimized crystal structure of Cs3Er3TiS8.

It has space group R-3m (No. 166, hexagonal axes), with a = 7.8473 Å, b = 7.8473 Å, c = 24.6044 Å, α = 90.00°, β = 90.00° and γ = 120.00°. The inequivalent atoms are Cs at (0.0000, 0.5000, 0.0000), Er at (0.0000, 0.5000, 0.5000), Ti at (0.0000, 0.0000, 0.5000), S at (0.0000, 0.0000, 0.2269) and S at (0.0253, 0.5127, 0.2235).

As for the uncorrected formation energy: -1.714 eV per atom.


A plane-wave DFT calculation with GGA-PBE was carried out for an optimized crystal structure of InTeMoI2.

It has space group P4/mmm (No. 123), with a = 5.8015 Å, b = 5.8015 Å, c = 5.5137 Å, α = 90.00°, β = 90.00° and γ = 90.00°. The inequivalent atoms are In at (0.0000, 0.0000, 0.0000), Te at (0.5000, 0.5000, 0.0000), Mo at (0.5000, 0.5000, 0.5000) and I at (0.0000, 0.5000, 0.5000).

As for the uncorrected formation energy: 0.166 eV per atom. For the density of states at the Fermi level, the calculation gives 0.459 states/eV per atom. The value obtained for the polymorph energy (0 for the lowest one) is 0.0 meV per atom.


A plane-wave DFT calculation with GGA-PBE was carried out for an optimized crystal structure of Nd6Sm3Er2Tm.

It has space group C2/m (No. 12), with a = 6.2916 Å, b = 10.8976 Å, c = 11.9161 Å, α = 90.00°, β = 100.11° and γ = 90.00°. The inequivalent atoms are Nd at (0.2494, 0.0000, 0.2464), Nd at (0.2492, 0.3334, 0.2463), Sm at (0.0000, 0.0000, 0.5000), Sm at (0.0000, 0.3333, 0.5000), Er at (0.0000, 0.1667, 0.0000) and Tm at (0.0000, 0.5000, 0.0000).

For the formation energy, the calculation gives 0.014 eV per atom. For the density of states at the Fermi level, the calculation gives 1.189 states/eV per atom.


A plane-wave DFT calculation with GGA-PBE was carried out for an optimized crystal structure of La2TaIn.

It has space group F-43m (No. 216), with a = 7.4798 Å, b = 7.4798 Å, c = 7.4798 Å, α = 90.00°, β = 90.00° and γ = 90.00°. The inequivalent atoms are La at (0.0000, 0.0000, 0.0000), La at (0.2500, 0.2500, 0.2500), Ta at (0.2500, 0.2500, 0.7500) and In at (0.0000, 0.0000, 0.5000).

For the formation energy, the calculation gives 0.267 eV per atom. For the density of states at the Fermi level, the calculation gives 1.342 states/eV per atom.


A plane-wave DFT calculation with GGA-PBE was carried out for an optimized crystal structure of HoTmGa4.

It has space group P6/mmm (No. 191), with a = 4.3200 Å, b = 4.3200 Å, c = 7.4294 Å, α = 90.00°, β = 90.00° and γ = 120.00°. The inequivalent atoms are Ho at (0.0000, 0.0000, 0.0000), Tm at (0.0000, 0.0000, 0.5000) and Ga at (0.3333, 0.6667, 0.2525).

For the formation energy, the calculation gives -0.604 eV per atom. For the density of states at the Fermi level, the calculation gives 0.383 states/eV per atom. The value obtained for the polymorph energy (0 for the lowest one) is 10.7 meV per atom.


A plane-wave DFT calculation with GGA-PBE was carried out for an optimized crystal structure of Sr4InCu.

It has space group F-43m (No. 216), with a = 10.0624 Å, b = 10.0624 Å, c = 10.0624 Å, α = 90.00°, β = 90.00° and γ = 90.00°. The inequivalent atoms are Sr at (0.1253, 0.1253, 0.1253), In at (0.0000, 0.0000, 0.5000) and Cu at (0.2500, 0.2500, 0.7500).

For the formation energy, the calculation gives 0.570 eV per atom. For the density of states at the Fermi level, the calculation gives 1.149 states/eV per atom. The value obtained for the polymorph energy (0 for the lowest one) is 709.9 meV per atom.


A plane-wave DFT calculation with GGA-PBE was carried out for an optimized crystal structure of B2C3.

It has space group Cm (No. 8), with a = 9.0075 Å, b = 2.5707 Å, c = 6.5055 Å, α = 90.00°, β = 119.13° and γ = 90.00°. The inequivalent atoms are B at (0.0000, 0.0000, 0.0000), B at (0.0160, 0.0000, 0.6902), B at (0.0817, 0.5000, 0.3412), B at (0.3732, 0.0000, 0.5229), C at (0.1031, 0.5000, 0.0891), C at (0.1928, 0.0000, 0.5128), C at (0.2098, 0.0000, 0.7617), C at (0.2894, 0.5000, 0.1421), C at (0.2983, 0.5000, 0.9029) and C at (0.3809, 0.0000, 0.2805).

For the formation energy, the calculation gives 0.365 eV per atom. For the density of states at the Fermi level, the calculation gives 0.139 states/eV per atom. The value obtained for the polymorph energy (0 for the lowest one) is 129.0 meV per atom.


A plane-wave DFT calculation with GGA-PBE was carried out for an optimized crystal structure of FePPb.

It has space group I4mm (No. 107), with a = 3.0653 Å, b = 3.0653 Å, c = 12.1303 Å, α = 90.00°, β = 90.00° and γ = 90.00°. The inequivalent atoms are Fe at (0.0000, 0.0000, 0.0000), P at (0.0000, 0.0000, 0.4306) and Pb at (0.0000, 0.0000, 0.6837).

For the formation energy, the calculation gives 0.132 eV per atom. For the density of states at the Fermi level, the calculation gives 0.919 states/eV per atom. The value obtained for the polymorph energy (0 for the lowest one) is 43.1 meV per atom.